[1]
Ti2HgI after structural relaxation. Source: Alexandria, functional GGA-PBE.

It has space group I-42d (No. 122), with a = 4.469 Å, b = 4.469 Å, c = 19.463 Å, α = 90.00°, β = 90.00° and γ = 90.00°. The inequivalent atoms are Ti at (0.240, 0.250, 0.125), Hg at (0.000, 0.000, 0.000) and I at (0.000, 0.000, 0.500).

As for the uncorrected formation energy: 49.7 kJ/mol of atoms. The calculation puts the energy above the most stable polymorph in this dataset at 226 meV/atom. The calculation puts the density of states at the Fermi level at 17.964 states/eV per cell. The value obtained for the magnetic moment is 10.668 μB/cell.

[2]
KNd6S8 after structural relaxation. Source: Alexandria, functional GGA-PBE.

It has space group R-3 (No. 148, hexagonal axes), with a = 12.0393 Å, b = 12.0393 Å, c = 12.6364 Å, α = 90.00°, β = 90.00° and γ = 120.00°. The inequivalent atoms are K at (0.0000, 0.0000, 0.0000), Nd at (0.0023, 0.8150, 0.6262), S at (0.0000, 0.0000, 0.2435) and S at (0.0005, 0.2621, 0.5871).

As for the uncorrected formation energy: -170.9 kJ/mol of atoms. The calculation puts the density of states at the Fermi level at 26.425 states/eV per cell. The value obtained for the magnetic moment is 0.011 μB/cell.

[3]
La7Sm3Ho2 after structural relaxation. Source: Alexandria, functional GGA-PBE.

It has space group P2/m (No. 10), with a = 6.571 Å, b = 3.592 Å, c = 17.941 Å, α = 90.00°, β = 95.80° and γ = 90.00°. The inequivalent atoms are La at (0.000, 0.000, 0.000), La at (0.222, 0.500, 0.172), La at (0.261, 0.500, 0.491), La at (0.274, 0.000, 0.831), Sm at (0.455, 0.000, 0.337), Sm at (0.500, 0.500, 0.000) and Ho at (0.058, 0.500, 0.669).

The calculation puts the energy above the most stable polymorph in this dataset at 0 meV/atom. The calculation puts the density of states at the Fermi level at 17.916 states/eV per cell. The value obtained for the magnetic moment is 0.004 μB/cell.

[4]
Er3Al4Au2 after structural relaxation. Source: Alexandria, functional GGA-PBE.

It has space group C2/m (No. 12), with a = 10.625 Å, b = 4.529 Å, c = 8.543 Å, α = 90.00°, β = 113.69° and γ = 90.00°. The inequivalent atoms are Er at (0.000, 0.000, 0.000), Er at (0.176, 0.500, 0.654), Al at (0.025, 0.000, 0.361), Al at (0.236, 0.500, 0.074) and Au at (0.099, 0.500, 0.269).

The total energy comes out at -82.6 eV/cell. The calculation puts the density of states at the Fermi level at 8.492 states/eV per cell. The value obtained for the magnetic moment is 0.000 μB/cell.

[5]
LiCaOF2 after structural relaxation. Source: Alexandria, functional GGA-PBE.

It has space group P4/mmm (No. 123), with a = 3.709 Å, b = 3.709 Å, c = 3.999 Å, α = 90.00°, β = 90.00° and γ = 90.00°. The inequivalent atoms are Li at (0.000, 0.000, 0.000), Ca at (0.500, 0.500, 0.500), O at (0.000, 0.000, 0.500) and F at (0.000, 0.500, 0.000).

As for the uncorrected formation energy: -245.1 kJ/mol of atoms. The calculation puts the energy above the most stable polymorph in this dataset at 0 meV/atom. The calculation puts the density of states at the Fermi level at 0.584 states/eV per cell. The value obtained for the magnetic moment is 1.000 μB/cell.

[6]
Mg2ZrAl after structural relaxation. Source: Alexandria, functional GGA-PBE.

It has space group Pmmm (No. 47), with a = 3.104 Å, b = 4.492 Å, c = 5.998 Å, α = 90.00°, β = 90.00° and γ = 90.00°. The inequivalent atoms are Mg at (0.000, 0.000, 0.247), Zr at (0.500, 0.500, 0.500) and Al at (0.500, 0.500, 0.000).

The total energy comes out at -15.4 eV/cell. The calculation puts the density of states at the Fermi level at 3.404 states/eV per cell. The value obtained for the magnetic moment is 0.000 μB/cell.